Density functional theory data (PBE) for crystalline Cs3DyTe3 at its relaxed geometry.

a = 9.5762 Å, b = 9.5762 Å, c = 9.3536 Å
α = 96.34°, β = 96.34°, γ = 113.66°
Closest atoms and distances in Å follow each position.
Positions (direct):
1 Cs 0.1778 0.8222 0.5000  6 Te 3.82-4.18
2 Cs 0.3863 0.3863 0.6377  5 Te 3.70-4.07, 1 Cs 3.85
3 Cs 0.8222 0.1778 0.5000  6 Te 3.82-4.18
4 Cs 0.7516 0.2484 0.0000  4 Te 3.97-4.02
5 Cs 0.2484 0.7516 0.0000  4 Te 3.97-4.02
6 Cs 0.6137 0.6137 0.3623  5 Te 3.70-4.07, 1 Cs 3.85
7 Dy 0.8269 0.8269 0.8566  4 Te 2.90-3.00
8 Dy 0.1731 0.1731 0.1434  4 Te 2.90-3.00
9 Te 0.5472 0.8431 0.7234  1 Dy 2.90
10 Te 0.1569 0.4528 0.2766  1 Dy 2.90
11 Te 0.1016 0.1016 0.8165  2 Dy 2.98-3.00
12 Te 0.8984 0.8984 0.1835  2 Dy 2.98-3.00
13 Te 0.4528 0.1569 0.2766  1 Dy 2.90
14 Te 0.8431 0.5472 0.7234  1 Dy 2.90

Calculated values
- energy (hartree per atom) = -0.1319
- density (Mg/m³) = 4.07
- spin magnetization (μB per atom) = 0.000